[1]
A relaxed structure of LiTaFeHg2. Source: Alexandria, functional GGA-PBE.

## Properties
calculated formation energy	1.076	eV/atom
total moment	3.0	μB/cell
space-group type	P4/mmm, No. 123
crystal system	tetragonal

```
LiTaFeHg2
1.0
-3.277 2.177 -2.039
1.483 -1.647 -4.142
-2.634 -3.533 0.462
Fe Li Hg Ta
1 1 2 1
direct
0.500 0.500 0.500
0.000 0.000 0.000
0.000 0.000 0.500
0.500 0.000 0.000
0.000 0.500 0.000
```

***

[2]
A relaxed structure of LiTa2FeHg. Source: Alexandria, functional GGA-PBE.

## Properties
calculated formation energy	2.191	eV/atom
total moment	0.2	μB/cell
space-group type	P4/mmm, No. 123
crystal system	tetragonal

```
LiTa2FeHg
1.0
-3.837 3.309 0.158
-0.276 -0.093 -4.740
-3.300 -3.839 0.267
Fe Li Hg Ta
1 1 1 2
direct
0.000 0.500 0.000
0.500 0.500 0.500
0.000 0.000 0.000
0.000 0.000 0.500
0.500 0.000 0.000
```

***

[3]
A relaxed structure of LiZrFe2Hg. Source: Alexandria, functional GGA-PBE.

## Properties
calculated formation energy	1.065	eV/atom
total moment	3.9	μB/cell
space-group type	P4/mmm, No. 123
crystal system	tetragonal

```
LiZrFe2Hg
1.0
-3.360 1.783 2.731
-3.922 -1.976 -3.536
-0.162 -4.007 2.418
Li Hg Zr Fe
1 1 1 2
direct
0.500 0.500 0.500
0.000 0.500 0.000
0.000 0.000 0.000
0.000 0.000 0.500
0.500 0.000 0.000
```

***

[4]
A relaxed structure of LuFe4Hg. Source: Alexandria, functional GGA-PBE.

## Properties
calculated formation energy	-0.028	eV/atom
total moment	8.9	μB/cell
space-group type	F-43m, No. 216
crystal system	cubic

```
LuFe4Hg
1.0
5.035 0.000 0.000
2.518 4.360 0.000
2.518 1.453 4.111
Lu Hg Fe
1 1 4
direct
0.000 0.000 0.000
0.250 0.250 0.250
0.626 0.626 0.123
0.626 0.123 0.626
0.626 0.626 0.626
0.123 0.626 0.626
```

***

no.,V (Å³/cell)
1,92
2,122
3,124
4,90